1.
The following is a DFT calculation (GGA+U) of crystalline Li2Si4Ni4O13 at its relaxed geometry.

**E**: -297.62 eV/cell
**Crystal system**: triclinic
**Symmetry**: P-1 (2)
**Total magnetization**: 0.35 μB per atom

```
46
Lattice="-5.8617 3.2822 0.8811 -2.7598 -3.2739 6.6110 2.3759 5.4531 8.0302" Properties=species:S:1:pos:R:3 pbc="T T T"
Ni -0.5179 1.8685 8.6371
O -5.2782 1.9889 3.2283
O -4.2294 2.0364 12.1757
Ni 1.3376 5.0778 9.2712
O -6.5360 1.5634 9.2199
Ni -1.5410 6.6397 9.6863
Ni -5.7278 3.5930 6.8851
Si -4.2098 6.3973 7.5356
Si -1.2088 3.5417 10.6685
O -0.9675 3.4726 12.2939
O -4.0313 0.6631 5.2841
O -4.6682 4.9267 8.0858
Li -2.8458 0.8992 10.9750
Si -0.9634 4.6343 7.0065
O -4.3065 1.9976 7.9515
O -0.4349 5.7801 8.0408
O -2.2144 4.7984 10.2382
O -2.0171 2.2371 10.0279
Li -3.8763 5.7053 11.0171
O -4.2286 3.2244 5.4943
Si -5.2823 0.8272 8.5157
O -6.4630 2.0102 5.7304
O -1.2235 1.6013 5.0862
Ni -3.4161 3.5363 9.0578
O -2.6141 -0.9138 9.5276
Ni -2.8296 1.9252 6.4645
O 0.2903 3.8981 6.3023
O -3.3039 7.3011 8.5556
O -1.5775 0.5349 7.4365
Si -4.9175 3.5317 12.0087
O -5.8108 -0.3186 7.4815
O -2.9418 -1.8396 6.9666
Li -2.3695 -0.2438 4.5052
Si -1.3282 1.9298 3.5136
O -2.0163 3.4251 3.3466
O -5.0222 3.8602 10.4361
Ni -7.5833 0.3837 6.2511
Si -2.0359 -0.9358 7.9866
O 0.2173 3.4514 9.7919
O -2.0715 0.7569 2.6768
Si -5.0369 1.9198 4.8537
Li -3.3999 4.5623 4.5473
O -4.1742 4.7046 12.8455
O -1.9393 3.4639 7.5707
Ni -4.7047 -1.1782 5.8359
O -3.6316 6.3753 5.9947
```

2.
The following is a DFT calculation (GGA+U) of crystalline Li7Si2Ni3O12 at its relaxed geometry.

**E**: -135.68 eV/cell
**Crystal system**: monoclinic
**Symmetry**: C2 (5)
**Total magnetization**: 0.13 μB per atom

```
24
Lattice="-3.3582 2.3897 -2.5948 -1.3069 -2.3809 4.0701 2.7769 7.0796 6.0202" Properties=species:S:1:pos:R:3 pbc="T T T"
O -2.8000 1.0379 1.6710
Li 0.7761 6.2965 7.7946
Ni -1.8477 3.5529 -0.4195
Li 0.3521 3.1698 3.9567
O -1.0026 1.8972 -0.0947
Si -1.4254 6.7090 3.4877
Li -0.7440 5.1179 5.7115
Ni -1.1573 1.9653 1.7960
O 0.5527 2.7742 1.9556
Ni -0.4562 0.3819 4.0017
Li 0.0924 7.8331 5.6722
O -1.9771 3.6403 1.5616
O -1.8221 6.8338 5.2869
O -1.3913 2.1472 3.6634
O 1.1640 5.9327 5.6932
O -0.4254 5.1873 3.6624
O 0.3318 3.4009 6.1383
Li -1.8476 7.0539 7.4829
Li -2.2103 3.9605 3.5784
Li -1.5999 2.4034 5.7600
O 0.2490 7.4421 3.6938
Si -0.0598 3.5278 7.9328
O -0.2744 0.3154 1.9725
O -1.3430 6.6737 1.6503
```

3.
The following is a DFT calculation (GGA+U) of crystalline Li3SiNiO5 at its relaxed geometry.

**Relative energy among the computed polymorphs**: 0.00 eV per formula unit
**Crystal system**: orthorhombic
**Symmetry**: Pna2_1 (33)
**Total magnetization**: 0.30 μB per atom

```
40
Lattice="4.9102 0.0000 0.0000 0.0000 5.4317 0.0000 0.0000 0.0000 15.7661" Properties=species:S:1:pos:R:3 pbc="T T T"
O 2.9423 0.8544 4.6807
O 0.5799 4.4077 4.9363
O 2.9423 3.5702 3.2024
O 2.9445 3.3697 9.4808
Ni 2.4559 1.7760 3.1602
O 0.7991 1.7227 9.5500
Li 2.4910 1.7722 12.6716
Li 2.4499 1.8160 6.4194
Li 0.0359 0.9437 4.7886
O 2.9544 1.0050 8.1136
Ni 0.0008 3.6557 12.6059
O 0.5799 1.6918 2.9468
O 3.0350 1.0240 10.8298
O 0.4872 4.5773 11.0854
Li 4.9050 0.8998 14.3024
Ni 2.4559 4.4919 4.7229
Li 0.0083 0.8925 7.8153
O 0.7991 4.4385 14.0991
Si 0.0270 3.6171 6.3324
O 3.2542 3.7090 6.2161
Si 2.4821 4.5305 14.2155
O 0.4894 2.0620 6.2853
O 2.9445 0.6539 14.1683
O 3.2542 0.9932 1.6670
Li 2.4635 1.8234 15.6983
O 2.9544 3.7208 15.5355
O 0.4993 4.4267 7.6525
O 3.0350 3.7399 12.8193
O 0.4894 4.7778 1.5977
Li 2.4499 4.5319 1.4636
O 0.4872 1.8615 12.5637
Ni 0.0008 0.9399 11.0432
Si 2.4821 1.8146 9.4336
Li 0.0083 3.6083 0.0677
Li 0.0359 3.6595 3.0944
Li 2.4910 4.4880 10.9774
O 0.4993 1.7109 0.2306
Li 4.9050 3.6157 9.3467
Si 0.0270 0.9012 1.5506
Li 2.4635 4.5392 7.9507
```

4.
The following is a DFT calculation (GGA+U) of crystalline LiSiNiO4 at its relaxed geometry.

**E**: -86.19 eV/cell
**Crystal system**: orthorhombic
**Symmetry**: Imma (74)
**Total magnetization**: 0.14 μB per atom

```
14
Lattice="5.7387 -0.0122 -0.0080 -2.9230 4.9384 0.0080 -0.3764 3.4826 4.5453" Properties=species:S:1:pos:R:3 pbc="T T T"
Ni -1.7102 5.8789 2.8458
O -0.0680 5.1913 1.7035
O 2.3862 6.5543 3.9801
O 2.5347 5.0866 1.9289
Li 5.7230 -0.0033 0.0037
O 4.0466 2.3377 1.6955
O 1.1947 4.4695 3.9801
O 3.7199 4.4091 4.0404
O 1.5214 2.3981 1.6352
Si 1.1591 5.8728 2.8418
Ni 2.6206 3.4036 2.8378
O -0.2165 6.6589 3.7547
Li -0.1053 3.3278 1.1267
Si 2.8089 1.6623 0.5652
```

Number 2 is which compound? Li7Si2Ni3O12